Record 1
Here is a relaxed structure of TcAs3Se from the Alexandria database. Energies are from PBE-GGA.

Results
ΔE_f (raw) = 6.7 eV per formula unit
V = 24.0 A^3/atom
total moment = 0.480 μB/atom
uncorrected energy = -4.21 eV/atom

a = 4.9304 Å, b = 4.9304 Å, c = 4.9304 Å
α = 90.00°, β = 90.00°, γ = 90.00°
Closest atoms and distances in Å follow each position.
Fractional positions:
Tc (0.0000, 0.0000, 0.0000)  12 As 3.49
As (0.0000, 0.5000, 0.5000)  2 Se 2.47
As (0.5000, 0.0000, 0.5000)  2 Se 2.47
As (0.5000, 0.5000, 0.0000)  2 Se 2.47
Se (0.5000, 0.5000, 0.5000)  6 As 2.47

Record 2
Here is a relaxed structure of Cd2CoBr from the Alexandria database. Energies are from PBE-GGA.

Results
ΔE_f (raw) = 1.8 eV per formula unit
V = 21.6 A^3/atom
total moment = 0.472 μB/atom
uncorrected energy = -2.21 eV/atom

a = 6.1338 Å, b = 6.1338 Å, c = 6.1338 Å
α = 142.15°, β = 142.15°, γ = 54.60°
Closest atoms and distances in Å follow each position.
Fractional positions:
Cd (0.2500, 0.7500, 0.5000)  4 Cd 2.81
Cd (0.7500, 0.2500, 0.5000)  4 Cd 2.81
Co (0.0000, 0.0000, 0.0000)  4 Br 2.81
Br (0.5000, 0.5000, 0.0000)  4 Co 2.81

Record 3
Here is a relaxed structure of RbBTe2N from the Alexandria database. Energies are from PBE-GGA.

Results
ΔE_f (raw) = -0.6 eV per formula unit
V = 27.7 A^3/atom
total moment = 0.000 μB/atom
uncorrected energy = -4.56 eV/atom

a = 7.0443 Å, b = 7.0443 Å, c = 2.7953 Å
α = 90.00°, β = 90.00°, γ = 90.00°
Closest atoms and distances in Å follow each position.
Fractional positions:
Rb (0.0000, 0.0000, 0.0000)  2 Rb 2.80
B (0.5000, 0.5000, 0.5000)  2 N 1.40
Te (0.0000, 0.5000, 0.5000)  2 Te 2.80
Te (0.5000, 0.0000, 0.5000)  2 Te 2.80
N (0.5000, 0.5000, 0.0000)  2 B 1.40

Record 4
Here is a relaxed structure of TiNi2AgPb from the Alexandria database. Energies are from PBE-GGA.

Results
V = 21.1 A^3/atom
total moment = 0.350 μB/atom
energy relative to the elements = 0.989 eV per atom
uncorrected energy = -4.21 eV/atom

a = 4.6932 Å, b = 4.6932 Å, c = 4.7983 Å
α = 90.00°, β = 90.00°, γ = 90.00°
Closest atoms and distances in Å follow each position.
Fractional positions:
Ti (0.0000, 0.0000, 0.0000)  2 Ag 2.40
Ni (0.0000, 0.5000, 0.5000)  2 Ag 2.35
Ni (0.5000, 0.0000, 0.5000)  2 Ag 2.35
Ag (0.0000, 0.0000, 0.5000)  4 Ni 2.35, 2 Ti 2.40
Pb (0.5000, 0.5000, 0.0000)  4 Ti 3.32, 8 Ni 3.36

Record 5
Here is a relaxed structure of CaSm2Ti from the Alexandria database. Energies are from PBE-GGA.

Results
V = 30.8 A^3/atom
total moment = 0.347 μB/atom
energy relative to the elements = 0.527 eV per atom
uncorrected energy = -4.31 eV/atom

a = 12.4656 Å, b = 12.4656 Å, c = 12.4656 Å
α = 15.67°, β = 15.67°, γ = 15.67°
Closest atoms and distances in Å follow each position.
Fractional positions:
Ca (0.0000, 0.0000, 0.0000)  6 Ca 3.40, 6 Sm 3.79
Sm (0.4210, 0.4210, 0.4210)  1 Ti 2.92
Sm (0.5790, 0.5790, 0.5790)  1 Ti 2.92
Ti (0.5000, 0.5000, 0.5000)  2 Sm 2.92

Record 6
Here is a relaxed structure of UTl2GaSe5 from the Alexandria database. Energies are from PBE-GGA.

Results
ΔE_f (raw) = -6.4 eV per formula unit
V = 30.8 A^3/atom
total moment = 0.113 μB/atom
uncorrected energy = -4.76 eV/atom

a = 9.6593 Å, b = 9.6593 Å, c = 14.2682 Å
α = 90.00°, β = 90.00°, γ = 155.43°
Closest atoms and distances in Å follow each position.
Fractional positions:
U (0.2019, 0.7981, 0.5000)  6 Se 2.62-2.87
U (0.7981, 0.2019, 0.0000)  6 Se 2.62-2.87
Tl (0.1185, 0.8815, 0.1515)  5 Se 3.24-3.42
Tl (0.1189, 0.8811, 0.8049)  4 Se 3.16-3.38
Tl (0.8811, 0.1189, 0.3049)  4 Se 3.16-3.38
Tl (0.8815, 0.1185, 0.6515)  5 Se 3.24-3.42
Ga (0.4356, 0.5644, 0.8927)  4 Se 2.33-2.55
Ga (0.5644, 0.4356, 0.3927)  4 Se 2.33-2.55
Se (0.0497, 0.9503, 0.4972)  2 Ga 2.55
Se (0.2989, 0.7011, 0.1283)  2 U 2.75
Se (0.3046, 0.6954, 0.8623)  1 Ga 2.51
Se (0.3401, 0.6599, 0.4850)  1 U 2.62
Se (0.4982, 0.5018, 0.7520)  1 Ga 2.33
Se (0.5018, 0.4982, 0.2520)  1 Ga 2.33
Se (0.6599, 0.3401, 0.9850)  1 U 2.62
Se (0.6954, 0.3046, 0.3623)  1 Ga 2.51
Se (0.7011, 0.2989, 0.6283)  2 U 2.75
Se (0.9503, 0.0497, 0.9972)  2 Ga 2.55

Record 7
Here is a relaxed structure of BaHgGe from the Alexandria database. Energies are from PBE-GGA.

Results
V = 30.1 A^3/atom
total moment = 0.000 μB/atom
energy relative to the elements = -0.221 eV per atom
uncorrected energy = -2.50 eV/atom

a = 6.5797 Å, b = 6.5797 Å, c = 6.5797 Å
α = 145.64°, β = 145.64°, γ = 49.38°
Closest atoms and distances in Å follow each position.
Fractional positions:
Ba (0.0000, 0.0000, 0.0000)  5 Hg 3.56-3.71, 5 Ge 3.58-3.68, 4 Ba 3.89
Hg (0.6897, 0.6897, 0.0000)  4 Ge 3.09
Ge (0.3081, 0.3081, 0.0000)  4 Hg 3.09

Record 8
Here is a relaxed structure of Li4NdAg2 from the Alexandria database. Energies are from PBE-GGA.

Results
V = 20.2 A^3/atom
total moment = 0.000 μB/atom
energy relative to the elements = -0.145 eV per atom
uncorrected energy = -2.73 eV/atom

a = 8.0410 Å, b = 8.0410 Å, c = 4.3719 Å
α = 90.00°, β = 90.00°, γ = 90.00°
Closest atoms and distances in Å follow each position.
Fractional positions:
Li (0.0942, 0.3483, 0.0000)  3 Ag 2.71-2.72, 6 Li 2.87-2.98
Li (0.1517, 0.5942, 0.5000)  3 Ag 2.71-2.72, 6 Li 2.87-2.98
Li (0.3483, 0.0942, 0.0000)  3 Ag 2.71-2.72, 6 Li 2.87-2.98
Li (0.4058, 0.8483, 0.5000)  3 Ag 2.71-2.72, 6 Li 2.87-2.98
Li (0.5942, 0.1517, 0.5000)  3 Ag 2.71-2.72, 6 Li 2.87-2.98
Li (0.6517, 0.9058, 0.0000)  3 Ag 2.71-2.72, 6 Li 2.87-2.98
Li (0.8483, 0.4058, 0.5000)  3 Ag 2.71-2.72, 6 Li 2.87-2.98
Li (0.9058, 0.6517, 0.0000)  3 Ag 2.71-2.72, 6 Li 2.87-2.98
Nd (0.0000, 0.0000, 0.5000)  6 Ag 3.24-3.28, 4 Li 3.48
Nd (0.5000, 0.5000, 0.0000)  6 Ag 3.24-3.28, 4 Li 3.48
Ag (0.2148, 0.7852, 0.0000)  6 Li 2.71-2.72
Ag (0.2852, 0.2852, 0.5000)  6 Li 2.71-2.72
Ag (0.7148, 0.7148, 0.5000)  6 Li 2.71-2.72
Ag (0.7852, 0.2148, 0.0000)  6 Li 2.71-2.72

Record 9
Here is a relaxed structure of BaCd3Ag3 from the Alexandria database. Energies are from PBE-GGA.

Results
V = 25.2 A^3/atom
total moment = 0.000 μB/atom
energy relative to the elements = -0.156 eV per atom
uncorrected energy = -2.05 eV/atom

a = 7.7719 Å, b = 7.7719 Å, c = 7.7719 Å
α = 62.77°, β = 62.77°, γ = 62.77°
Closest atoms and distances in Å follow each position.
Fractional positions:
Ba (0.1336, 0.1336, 0.1336)  3 Ag 3.45, 6 Cd 3.54-3.75
Ba (0.8664, 0.8664, 0.8664)  3 Ag 3.45, 6 Cd 3.54-3.75
Cd (0.1822, 0.1822, 0.5663)  4 Ag 2.96-2.99, 4 Cd 3.00-3.11
Cd (0.1822, 0.5663, 0.1822)  4 Ag 2.96-2.99, 4 Cd 3.00-3.11
Cd (0.4337, 0.8178, 0.8178)  4 Ag 2.96-2.99, 4 Cd 3.00-3.11
Cd (0.5663, 0.1822, 0.1822)  4 Ag 2.96-2.99, 4 Cd 3.00-3.11
Cd (0.8178, 0.4337, 0.8178)  4 Ag 2.96-2.99, 4 Cd 3.00-3.11
Cd (0.8178, 0.8178, 0.4337)  4 Ag 2.96-2.99, 4 Cd 3.00-3.11
Ag (0.1930, 0.5606, 0.5606)  4 Ag 2.88-2.98, 4 Cd 2.96-2.99
Ag (0.4394, 0.4394, 0.8070)  4 Ag 2.88-2.98, 4 Cd 2.96-2.99
Ag (0.4394, 0.8070, 0.4394)  4 Ag 2.88-2.98, 4 Cd 2.96-2.99
Ag (0.5606, 0.1930, 0.5606)  4 Ag 2.88-2.98, 4 Cd 2.96-2.99
Ag (0.5606, 0.5606, 0.1930)  4 Ag 2.88-2.98, 4 Cd 2.96-2.99
Ag (0.8070, 0.4394, 0.4394)  4 Ag 2.88-2.98, 4 Cd 2.96-2.99

Record 10
Here is a relaxed structure of TaFeCu from the Alexandria database. Energies are from PBE-GGA.

Results
V = 15.5 A^3/atom
total moment = 0.000 μB/atom
energy relative to the elements = 0.483 eV per atom
uncorrected energy = -7.65 eV/atom

a = 4.0388 Å, b = 4.0388 Å, c = 4.0388 Å
α = 60.00°, β = 60.00°, γ = 60.00°
Closest atoms and distances in Å follow each position.
Fractional positions:
Ta (0.0000, 0.0000, 0.0000)  4 Fe 2.47
Fe (0.2500, 0.2500, 0.2500)  4 Ta 2.47, 4 Cu 2.47
Cu (0.5000, 0.5000, 0.5000)  4 Fe 2.47

Record 11
Here is a relaxed structure of HCl from the Alexandria database. Energies are from PBE-GGA.

Results
V = 22.1 A^3/atom
total moment = 0.000 μB/atom
uncorrected energy = -2.80 eV/atom

a = 4.0955 Å, b = 4.0955 Å, c = 4.0955 Å
α = 98.08°, β = 98.08°, γ = 135.96°
Closest atoms and distances in Å follow each position.
Fractional positions:
H (0.0000, 0.0000, 0.0000)  2 Cl 1.54
Cl (0.5000, 0.5000, 0.0000)  2 H 1.54

Record 12
Here is a relaxed structure of Mn2Zn3Pd8 from the Alexandria database. Energies are from PBE-GGA.

Results
V = 16.0 A^3/atom
total moment = 0.689 μB/atom
energy relative to the elements = -0.205 eV per atom
uncorrected energy = -5.11 eV/atom

a = 7.5628 Å, b = 7.5628 Å, c = 4.4491 Å
α = 90.00°, β = 90.00°, γ = 125.39°
Closest atoms and distances in Å follow each position.
Fractional positions:
Mn (0.2246, 0.7754, 0.0000)  8 Pd 2.58-2.67
Mn (0.7754, 0.2246, 0.0000)  8 Pd 2.58-2.67
Zn (0.0000, 0.0000, 0.0000)  8 Pd 2.52-2.70
Zn (0.3075, 0.3075, 0.5000)  8 Pd 2.63-2.66, 1 Zn 2.67
Zn (0.6925, 0.6925, 0.5000)  8 Pd 2.63-2.66, 1 Zn 2.67
Pd (0.1142, 0.8858, 0.5000)  4 Zn 2.63-2.70, 2 Mn 2.67, 1 Pd 2.89
Pd (0.1870, 0.4040, 0.0000)  3 Zn 2.52-2.66, 2 Mn 2.58-2.65, 2 Pd 2.77
Pd (0.3295, 0.6705, 0.5000)  2 Mn 2.63, 2 Zn 2.65, 5 Pd 2.77-2.89
Pd (0.4040, 0.1870, 0.0000)  3 Zn 2.52-2.66, 2 Mn 2.58-2.65, 2 Pd 2.77
Pd (0.5960, 0.8130, 0.0000)  3 Zn 2.52-2.66, 2 Mn 2.58-2.65, 2 Pd 2.77
Pd (0.6705, 0.3295, 0.5000)  2 Mn 2.63, 2 Zn 2.65, 5 Pd 2.77-2.89
Pd (0.8130, 0.5960, 0.0000)  3 Zn 2.52-2.66, 2 Mn 2.58-2.65, 2 Pd 2.77
Pd (0.8858, 0.1142, 0.5000)  4 Zn 2.63-2.70, 2 Mn 2.67, 1 Pd 2.89